Entry 1:
Crystalline TmHg at its relaxed geometry. Source: OQMD via LeMat-Bulk, functional GGA-PBE.

Computed properties:
formation enthalpy at 0 K	-92	kJ/mol of formula units
size of the total moment	0.00	μB/atom
energy	-2.8632	eV per atom

Structure (CIF):
```
data_TmHg
_chemical_formula_sum 'Tm1 Hg1'
_cell_length_a 3.6533
_cell_length_b 3.6533
_cell_length_c 3.6533
_cell_angle_alpha 90.00
_cell_angle_beta 90.00
_cell_angle_gamma 90.00
_space_group_name_H-M_alt 'P m -3 m'
_space_group_IT_number 221
_space_group_name_Hall '-P 4 2 3'
loop_
_atom_site_label
_atom_site_type_symbol
_atom_site_fract_x
_atom_site_fract_y
_atom_site_fract_z
Tm1 Tm 0.0000 0.0000 0.0000
Hg1 Hg 0.5000 0.5000 0.5000
```


Entry 2:
Crystalline TmHg at its relaxed geometry. Source: OQMD via LeMat-Bulk, functional GGA-PBE.

Computed properties:
formation enthalpy at 0 K	-43	kJ/mol of formula units
size of the total moment	0.00	μB/atom
energy	-2.6100	eV per atom

Structure (CIF):
```
data_TmHg
_chemical_formula_sum 'Tm4 Hg4'
_cell_length_a 6.0411
_cell_length_b 6.0411
_cell_length_c 6.0411
_cell_angle_alpha 90.00
_cell_angle_beta 90.00
_cell_angle_gamma 90.00
_space_group_name_H-M_alt 'F m -3 m'
_space_group_IT_number 225
_space_group_name_Hall '-F 4 2 3'
loop_
_atom_site_label
_atom_site_type_symbol
_atom_site_fract_x
_atom_site_fract_y
_atom_site_fract_z
Tm1 Tm 0.0000 0.0000 0.0000
Hg1 Hg 0.0000 0.0000 0.5000
```


Entry 3:
Crystalline TmUHg at its relaxed geometry. Source: OQMD via LeMat-Bulk, functional GGA-PBE.

Computed properties:
formation enthalpy at 0 K	174	kJ/mol of formula units
size of the total moment	1.29	μB/atom
energy	-4.7536	eV per atom
energy above the most stable polymorph in this dataset	0	kJ/mol of formula units

Structure (CIF):
```
data_TmUHg
_chemical_formula_sum 'Tm4 U4 Hg4'
_cell_length_a 7.1650
_cell_length_b 7.1650
_cell_length_c 7.1650
_cell_angle_alpha 90.00
_cell_angle_beta 90.00
_cell_angle_gamma 90.00
_space_group_name_H-M_alt 'F -4 3 m'
_space_group_IT_number 216
_space_group_name_Hall 'F -4 2 3'
loop_
_atom_site_label
_atom_site_type_symbol
_atom_site_fract_x
_atom_site_fract_y
_atom_site_fract_z
Tm1 Tm 0.0000 0.0000 0.0000
U1 U 0.0000 0.0000 0.5000
Hg1 Hg 0.2500 0.2500 0.2500
```


Entry 4:
Crystalline TmHgW at its relaxed geometry. Source: OQMD via LeMat-Bulk, functional GGA-PBE.

Computed properties:
formation enthalpy at 0 K	381	kJ/mol of formula units
size of the total moment	1.00	μB/atom
energy	-4.5931	eV per atom
energy above the most stable polymorph in this dataset	76	kJ/mol of formula units

Structure (CIF):
```
data_TmHgW
_chemical_formula_sum 'Tm4 Hg4 W4'
_cell_length_a 6.7888
_cell_length_b 6.7888
_cell_length_c 6.7888
_cell_angle_alpha 90.00
_cell_angle_beta 90.00
_cell_angle_gamma 90.00
_space_group_name_H-M_alt 'F -4 3 m'
_space_group_IT_number 216
_space_group_name_Hall 'F -4 2 3'
loop_
_atom_site_label
_atom_site_type_symbol
_atom_site_fract_x
_atom_site_fract_y
_atom_site_fract_z
Tm1 Tm 0.0000 0.0000 0.0000
Hg1 Hg 0.2500 0.2500 0.7500
W1 W 0.2500 0.2500 0.2500
```


Entry 5:
Crystalline TmHgW at its relaxed geometry. Source: OQMD via LeMat-Bulk, functional GGA-PBE.

Computed properties:
formation enthalpy at 0 K	305	kJ/mol of formula units
size of the total moment	0.97	μB/atom
energy	-4.8569	eV per atom
energy above the most stable polymorph in this dataset	0	kJ/mol of formula units

Structure (CIF):
```
data_TmHgW
_chemical_formula_sum 'Tm4 Hg4 W4'
_cell_length_a 6.7369
_cell_length_b 6.7369
_cell_length_c 6.7369
_cell_angle_alpha 90.00
_cell_angle_beta 90.00
_cell_angle_gamma 90.00
_space_group_name_H-M_alt 'F -4 3 m'
_space_group_IT_number 216
_space_group_name_Hall 'F -4 2 3'
loop_
_atom_site_label
_atom_site_type_symbol
_atom_site_fract_x
_atom_site_fract_y
_atom_site_fract_z
Tm1 Tm 0.0000 0.0000 0.0000
Hg1 Hg 0.0000 0.0000 0.5000
W1 W 0.2500 0.2500 0.7500
```


Entry 6:
Crystalline YTmHg4 at its relaxed geometry. Source: OQMD via LeMat-Bulk, functional GGA-PBE.

Computed properties:
formation enthalpy at 0 K	-217	kJ/mol of formula units
size of the total moment	0.00	μB/atom
energy	-2.3960	eV per atom

Structure (CIF):
```
data_YTmHg4
_chemical_formula_sum 'Y1 Tm1 Hg4'
_cell_length_a 3.3908
_cell_length_b 4.9205
_cell_length_c 8.5238
_cell_angle_alpha 90.00
_cell_angle_beta 90.02
_cell_angle_gamma 90.00
_space_group_name_H-M_alt 'P 1 2/m 1'
_space_group_IT_number 10
loop_
_space_group_symop_operation_xyz
'x,y,z'
'-x,-y,-z'
'-x,y,-z'
'x,-y,z'
loop_
_atom_site_label
_atom_site_type_symbol
_atom_site_fract_x
_atom_site_fract_y
_atom_site_fract_z
Y1 Y 0.0000 0.0000 0.0000
Tm1 Tm 0.0000 0.5000 0.5000
Hg1 Hg 0.4944 0.0000 0.6661
Hg2 Hg 0.4944 0.5000 0.1672
```